Record 1
The following is a DFT calculation (GGA-PBE) of crystalline RbSc2Cd at its relaxed geometry.

**Calculated volume**: 177.2 Å³/f.u.
**Energy of formation from the pure elements**: 0.761 eV per atom

Cell and atoms, written as extended XYZ:
```
8
Lattice="-2.934 2.934 10.292 2.934 -2.934 10.292 2.934 2.934 -10.292" Properties=species:S:1:pos:R:3 pbc="T T T"
Rb 0.000 0.000 0.000
Rb 0.000 2.934 5.146
Sc 1.467 2.927 -2.573
Sc 2.940 1.467 2.573
Sc 1.467 0.006 7.719
Sc -0.006 1.467 12.865
Cd 2.934 0.000 5.146
Cd 0.000 0.000 10.292
```

=====

Record 2
The following is a DFT calculation (GGA-PBE) of crystalline Rb2ScCd2 at its relaxed geometry.

**Calculated volume**: 196.2 Å³/f.u.
**Energy of formation from the pure elements**: 0.243 eV per atom

Cell and atoms, written as extended XYZ:
```
10
Lattice="7.880 0.000 0.000 0.000 7.880 0.000 0.000 0.000 6.319" Properties=species:S:1:pos:R:3 pbc="T T T"
Rb 1.400 2.540 0.000
Rb 2.540 6.480 0.000
Rb 5.340 1.400 0.000
Rb 6.480 5.340 0.000
Sc 0.000 0.000 3.159
Sc 3.940 3.940 3.159
Cd 1.054 4.993 3.159
Cd 2.886 1.054 3.159
Cd 4.993 6.826 3.159
Cd 6.826 2.886 3.159
```

=====

Record 3
The following is a DFT calculation (GGA-PBE) of crystalline RbSc2Cd4 at its relaxed geometry.

**Calculated volume**: 270.3 Å³/f.u.
**Energy of formation from the pure elements**: 0.609 eV per atom

Cell and atoms, written as extended XYZ:
```
7
Lattice="-2.929 2.929 7.878 2.929 -2.929 7.878 2.929 2.929 -7.878" Properties=species:S:1:pos:R:3 pbc="T T T"
Rb 0.000 0.000 0.000
Sc 0.000 0.000 6.474
Sc 0.000 0.000 9.281
Cd 2.929 0.000 0.000
Cd 0.000 0.000 3.452
Cd 0.000 2.929 0.000
Cd 0.000 0.000 12.304
```

=====

Record 4
The following is a DFT calculation (GGA-PBE) of crystalline RbScCd2 at its relaxed geometry.

**Calculated volume**: 120.7 Å³/f.u.
**Offset from the most stable computed form**: 0 meV per atom
**Energy of formation from the pure elements**: -0.022 eV per atom

Cell and atoms, written as extended XYZ:
```
4
Lattice="3.729 0.000 0.000 0.000 3.729 0.000 0.000 0.000 8.680" Properties=species:S:1:pos:R:3 pbc="T T T"
Rb 0.000 0.000 0.000
Sc 0.000 0.000 4.340
Cd 1.865 1.865 2.774
Cd 1.865 1.865 5.907
```

=====

Record 5
The following is a DFT calculation (GGA-PBE) of crystalline RbScCd17 at its relaxed geometry.

**Calculated volume**: 457.8 Å³/f.u.
**Energy of formation from the pure elements**: -0.025 eV per atom

Cell and atoms, written as extended XYZ:
```
19
Lattice="5.090 2.939 5.101 -5.090 2.939 5.101 0.000 -5.877 5.101" Properties=species:S:1:pos:R:3 pbc="T T T"
Rb 0.000 0.000 0.000
Sc 0.000 0.000 10.013
Cd -1.527 -2.588 5.113
Cd -3.005 -0.028 5.113
Cd -2.339 -1.351 8.116
Cd 0.000 0.000 3.789
Cd 0.000 -3.224 7.574
Cd -2.792 1.612 7.574
Cd 1.527 -2.588 5.113
Cd -1.478 2.616 5.113
Cd 0.000 0.000 6.780
Cd -1.954 -1.128 12.358
Cd 3.005 -0.028 5.113
Cd 1.478 2.616 5.113
Cd 2.339 -1.351 8.116
Cd 0.000 2.701 8.116
Cd 2.792 1.612 7.574
Cd 1.954 -1.128 12.358
Cd 0.000 2.256 12.358
```

=====

Record 6
The following is a DFT calculation (GGA-PBE) of crystalline RbSc3Cd at its relaxed geometry.

**Calculated volume**: 171.7 Å³/f.u.
**Offset from the most stable computed form**: 0 meV per atom
**Energy of formation from the pure elements**: 0.614 eV per atom

Cell and atoms, written as extended XYZ:
```
5
Lattice="5.558 0.000 0.000 0.000 5.558 0.000 0.000 0.000 5.558" Properties=species:S:1:pos:R:3 pbc="T T T"
Rb 0.000 0.000 0.000
Sc 0.000 2.779 2.779
Sc 2.779 0.000 2.779
Sc 2.779 2.779 0.000
Cd 2.779 2.779 2.779
```

=====

Record 7
The following is a DFT calculation (GGA-PBE) of crystalline RbSc2Cd at its relaxed geometry.

**Calculated volume**: 119.0 Å³/f.u.
**Energy of formation from the pure elements**: 0.342 eV per atom

Cell and atoms, written as extended XYZ:
```
4
Lattice="1.713 0.989 11.702 -1.713 0.989 11.702 0.000 -1.978 11.702" Properties=species:S:1:pos:R:3 pbc="T T T"
Rb 0.000 0.000 0.000
Sc 0.000 0.000 3.504
Sc 0.000 0.000 31.602
Cd 0.000 0.000 17.553
```

=====

Record 8
The following is a DFT calculation (GGA-PBE) of crystalline RbScCdTe3 at its relaxed geometry.

**Calculated volume**: 216.2 Å³/f.u.
**Uncorrected formation energy**: -22.163 kcal/mol of atoms

Cell and atoms, written as extended XYZ:
```
12
Lattice="9.604 0.000 0.000 0.000 4.403 0.000 -3.821 0.000 10.224" Properties=species:S:1:pos:R:3 pbc="T T T"
Rb 1.145 1.101 2.541
Rb 4.638 3.303 7.683
Sc -0.122 3.303 8.875
Sc 5.905 1.101 1.349
Cd -1.559 1.101 6.240
Cd 7.343 3.303 3.984
Te -2.174 1.101 8.958
Te 0.198 3.303 5.673
Te 3.930 3.303 1.523
Te 1.853 1.101 8.701
Te 5.585 1.101 4.551
Te 7.957 3.303 1.265
```

=====

Record 9
The following is a DFT calculation (GGA-PBE) of crystalline Rb2ScCd2Te4 at its relaxed geometry.

**Calculated volume**: 316.0 Å³/f.u.
**Uncorrected formation energy**: -18.576 kcal/mol of atoms

Cell and atoms, written as extended XYZ:
```
9
Lattice="8.692 -2.219 0.000 8.692 2.219 0.000 -3.516 0.000 8.192" Properties=species:S:1:pos:R:3 pbc="T T T"
Rb 1.969 0.000 0.597
Rb 11.900 0.000 7.595
Sc -1.758 0.000 4.096
Cd 3.688 0.000 4.101
Cd 10.180 0.000 4.091
Te 0.671 0.000 5.811
Te 5.897 0.000 5.901
Te 7.972 0.000 2.291
Te 13.198 0.000 2.381
```

=====

Record 10
The following is a DFT calculation (GGA-PBE) of crystalline RbCd2Se2 at its relaxed geometry.

**Calculated volume**: 136.6 Å³/f.u.
**Offset from the most stable computed form**: 236 meV per atom
**Uncorrected formation energy**: -8.552 kcal/mol of atoms

Cell and atoms, written as extended XYZ:
```
10
Lattice="8.469 0.000 0.000 0.000 8.469 0.000 0.000 0.000 3.808" Properties=species:S:1:pos:R:3 pbc="T T T"
Rb 0.000 0.000 0.000
Rb 4.235 4.235 0.000
Cd 1.111 3.124 1.904
Cd 3.124 7.359 1.904
Cd 5.346 1.111 1.904
Cd 7.359 5.346 1.904
Se 1.321 5.555 0.000
Se 2.914 1.321 0.000
Se 5.555 7.149 0.000
Se 7.149 2.914 0.000
```

=====

Record 11
The following is a DFT calculation (GGA-PBE) of crystalline Rb2CdSe2 at its relaxed geometry.

**Calculated volume**: 187.2 Å³/f.u.
**Uncorrected formation energy**: -21.809 kcal/mol of atoms

Cell and atoms, written as extended XYZ:
```
10
Lattice="2.238 -10.649 0.000 2.238 10.649 0.000 0.000 0.000 7.856" Properties=species:S:1:pos:R:3 pbc="T T T"
Rb 2.238 10.070 3.928
Rb 2.238 6.500 5.701
Rb 2.238 -6.500 1.773
Rb 2.238 -10.070 0.000
Cd 2.238 2.754 4.736
Cd 2.238 -2.754 0.808
Se 2.238 7.040 2.005
Se 2.238 1.591 2.455
Se 2.238 -1.591 6.383
Se 2.238 -7.040 5.933
```

=====

Record 12
The following is a DFT calculation (GGA-PBE) of crystalline RbCd2Se2 at its relaxed geometry.

**Calculated volume**: 162.9 Å³/f.u.
**Offset from the most stable computed form**: 47 meV per atom
**Uncorrected formation energy**: -12.904 kcal/mol of atoms

Cell and atoms, written as extended XYZ:
```
5
Lattice="-2.384 2.384 7.161 2.384 -2.384 7.161 2.384 2.384 -7.161" Properties=species:S:1:pos:R:3 pbc="T T T"
Rb 0.000 0.000 0.000
Cd 2.384 0.000 3.581
Cd 0.000 2.384 3.581
Se 0.000 0.000 5.104
Se 0.000 0.000 9.218
```